1.
VASP calculation (GGA-PBE) on a relaxed Hf3Bi crystal.

The structure belongs to space group I4/mmm (No. 139); the cell edges are 4.396, 4.396 and 9.490 Å and the angles 90.00°, 90.00° and 90.00°. The inequivalent atoms are Hf at (0.000, 0.000, 0.000), Hf at (0.000, 0.500, 0.250) and Bi at (0.000, 0.000, 0.500).

The value obtained for the total energy is -33.80 eV per formula unit. As for the formation enthalpy at 0 K: -0.02 eV/atom.

***

2.
VASP calculation (GGA-PBE) on a relaxed ErAlIrPd crystal.

The structure belongs to space group F-43m (No. 216); the cell edges are 6.512, 6.512 and 6.512 Å and the angles 90.00°, 90.00° and 90.00°. The inequivalent atoms are Er at (0.000, 0.000, 0.000), Al at (0.000, 0.000, 0.500), Ir at (0.250, 0.250, 0.750) and Pd at (0.250, 0.250, 0.250).

The value obtained for the total energy is -25.70 eV per formula unit. As for the formation enthalpy at 0 K: -0.83 eV/atom.

***

3.
VASP calculation (GGA-PBE) on a relaxed Dy5AgRh2 crystal.

The structure belongs to space group I4/mcm (No. 140); the cell edges are 7.714, 7.714 and 13.315 Å and the angles 90.00°, 90.00° and 90.00°. The inequivalent atoms are Dy at (0.000, 0.000, 0.000), Dy at (0.160, 0.340, 0.137), Ag at (0.000, 0.000, 0.250) and Rh at (0.140, 0.360, 0.500).

The value obtained for the total energy is -45.24 eV per formula unit. As for the formation enthalpy at 0 K: -0.58 eV/atom.

***

4.
VASP calculation (GGA-PBE) on a relaxed AlAg5 crystal.

The structure belongs to space group P-62m (No. 189); the cell edges are 5.0311, 5.0311 and 4.7637 Å and the angles 90.00°, 90.00° and 120.00°. The inequivalent atoms are Al at (0.0000, 0.0000, 0.0000), Ag at (0.0000, 0.6744, 0.5000) and Ag at (0.3333, 0.6667, 0.0000).

The value obtained for the total energy is -18.15 eV per formula unit. Its offset from the most stable computed form is 1 meV per atom. As for the formation enthalpy at 0 K: -0.03 eV/atom.

***

5.
VASP calculation (GGA-PBE) on a relaxed Hf2NbRu2 crystal.

The structure belongs to space group P4/mbm (No. 127); the cell edges are 7.464, 7.464 and 3.249 Å and the angles 90.00°, 90.00° and 90.00°. The inequivalent atoms are Hf at (0.160, 0.340, 0.000), Nb at (0.000, 0.000, 0.500) and Ru at (0.140, 0.640, 0.500).

The value obtained for the total energy is -49.73 eV per formula unit. As for the formation enthalpy at 0 K: -0.24 eV/atom.

***

6.
VASP calculation (GGA-PBE) on a relaxed SrLaAl crystal.

The structure belongs to space group Cm (No. 8); the cell edges are 16.554, 4.291 and 6.376 Å and the angles 90.00°, 102.82° and 90.00°. The inequivalent atoms are Sr at (0.000, 0.000, 0.000), Sr at (0.225, 0.500, 0.115), La at (0.065, 0.500, 0.525), La at (0.301, 0.000, 0.646), Al at (0.384, 0.000, 0.207) and Al at (0.415, 0.500, 0.462).

The value obtained for the total energy is -10.60 eV per formula unit. Its offset from the most stable computed form is 124 meV per atom. As for the formation enthalpy at 0 K: -0.08 eV/atom.